No. 1
## Pr2Pu3UAs6 (GGA-PBE)

Data for a relaxed structure of Pr2Pu3UAs6.

abc: 9.3439 9.3439 8.3663
angles: 102.80 102.80 25.88
Closest atoms and distances in Å follow each position.
Fractional coordinates of all 12 atoms:
Pr: 0.1659 0.1659 0.3343  6 As 3.00-3.02
Pr: 0.8341 0.8341 0.6657  6 As 3.00-3.02
Pu: 0.1690 0.1690 0.8340  6 As 2.90-2.97
Pu: 0.5000 0.5000 0.5000  6 As 2.92-2.99
Pu: 0.8310 0.8310 0.1660  6 As 2.90-2.97
U: 0.5000 0.5000 0.0000  6 As 2.90-2.93
As: 0.0034 0.0034 0.7572  2 U 2.93, 3 Pu 2.94-2.99, 1 Pr 3.00
As: 0.3356 0.3356 0.4075  3 Pu 2.90-2.92, 3 Pr 3.01
As: 0.3364 0.3364 0.9276  1 U 2.90, 3 Pu 2.91-2.97, 2 Pr 3.02
As: 0.6636 0.6636 0.0724  1 U 2.90, 3 Pu 2.91-2.97, 2 Pr 3.02
As: 0.6644 0.6644 0.5925  3 Pu 2.90-2.92, 3 Pr 3.01
As: 0.9966 0.9966 0.2428  2 U 2.93, 3 Pu 2.94-2.99, 1 Pr 3.00

Output
Calculated density = 9.1 g/cm3
Uncorrected energy = -105.02 eV/cell
Energy of formation from the pure elements = -1.107 eV/atom
Size of the total moment = 2.93 μB/cell

No. 2
## Ac8P3AuI4 (GGA-PBE)

Data for a relaxed structure of Ac8P3AuI4.

abc: 9.6676 9.6676 9.6676
angles: 55.44 55.44 55.44
Closest atoms and distances in Å follow each position.
Fractional coordinates of all 16 atoms:
Ac: 0.2260 0.7364 0.7364  2 P 3.04, 1 Au 3.11
Ac: 0.2316 0.2316 0.2316  3 P 3.04
Ac: 0.2636 0.2636 0.7740  2 P 3.04, 1 Au 3.11
Ac: 0.2636 0.7740 0.2636  2 P 3.04, 1 Au 3.11
Ac: 0.7364 0.2260 0.7364  2 P 3.04, 1 Au 3.11
Ac: 0.7364 0.7364 0.2260  2 P 3.04, 1 Au 3.11
Ac: 0.7684 0.7684 0.7684  3 P 3.04
Ac: 0.7740 0.2636 0.2636  2 P 3.04, 1 Au 3.11
P: 0.0000 0.0000 0.5000  6 Ac 3.04
P: 0.0000 0.5000 0.0000  6 Ac 3.04
P: 0.5000 0.0000 0.0000  6 Ac 3.04
Au: 0.5000 0.5000 0.5000  6 Ac 3.11
I: 0.0000 0.0000 0.0000  6 Ac 3.54
I: 0.0000 0.5000 0.5000  6 Ac 3.59-3.60
I: 0.5000 0.0000 0.5000  6 Ac 3.59-3.60
I: 0.5000 0.5000 0.0000  6 Ac 3.59-3.60

Output
Calculated density = 7.6 g/cm3
Uncorrected energy = -77.63 eV/cell
Size of the total moment = 0.00 μB/cell

No. 3
## AlCoTePd2 (GGA-PBE)

Data for a relaxed structure of AlCoTePd2.

abc: 4.7502 4.7502 4.6155
angles: 90.00 90.00 90.00
Closest atoms and distances in Å follow each position.
Fractional coordinates of all 5 atoms:
Al: 0.0000 0.0000 0.0000  8 Pd 3.31, 4 Te 3.36
Co: 0.5000 0.5000 0.5000  2 Te 2.31, 4 Pd 2.38
Te: 0.5000 0.5000 0.0000  2 Co 2.31
Pd: 0.0000 0.5000 0.5000  2 Co 2.38
Pd: 0.5000 0.0000 0.5000  2 Co 2.38

Output
Calculated density = 6.8 g/cm3
Uncorrected energy = -21.73 eV/cell
Size of the total moment = 1.90 μB/cell

No. 4
## HoTl2Cd2 (GGA-PBE)

Data for a relaxed structure of HoTl2Cd2.

abc: 12.1007 12.1007 4.6096
angles: 90.00 90.00 158.06
Closest atoms and distances in Å follow each position.
Fractional coordinates of all 10 atoms:
Ho: 0.1435 0.8565 0.7500  8 Tl 3.26-3.43, 4 Cd 3.28-3.34
Ho: 0.8565 0.1435 0.2500  8 Tl 3.26-3.43, 4 Cd 3.28-3.34
Tl: 0.2497 0.7503 0.2500  8 Tl 3.26-3.50, 4 Ho 3.42-3.43
Tl: 0.3606 0.6394 0.7500  4 Cd 3.21-3.27, 4 Ho 3.26, 4 Tl 3.49-3.50
Tl: 0.6394 0.3606 0.2500  4 Cd 3.21-3.27, 4 Ho 3.26, 4 Tl 3.49-3.50
Tl: 0.7503 0.2497 0.7500  8 Tl 3.26-3.50, 4 Ho 3.42-3.43
Cd: 0.0420 0.9580 0.2500  8 Cd 3.05-3.26, 2 Tl 3.27, 2 Ho 3.34
Cd: 0.4547 0.5453 0.2500  8 Cd 3.10-3.26, 2 Tl 3.21, 2 Ho 3.28
Cd: 0.5453 0.4547 0.7500  8 Cd 3.10-3.26, 2 Tl 3.21, 2 Ho 3.28
Cd: 0.9580 0.0420 0.7500  8 Cd 3.05-3.26, 2 Tl 3.27, 2 Ho 3.34

Output
Calculated density = 10.5 g/cm3
Uncorrected energy = -23.85 eV/cell
Energy of formation from the pure elements = -0.157 eV/atom
Size of the total moment = 0.00 μB/cell

No. 5
## Pm8Tm2Sc3 (GGA-PBE)

Data for a relaxed structure of Pm8Tm2Sc3.

abc: 8.6487 8.6487 6.6317
angles: 98.26 98.26 61.92
Closest atoms and distances in Å follow each position.
Fractional coordinates of all 13 atoms:
Pm: 0.0712 0.7057 0.0663  3 Pm 3.25-3.56, 2 Tm 3.27-3.51, 2 Sc 3.34-3.37
Pm: 0.0904 0.0904 0.3973  4 Pm 3.20-3.54, 2 Sc 3.41
Pm: 0.2943 0.9288 0.9337  3 Pm 3.25-3.56, 2 Tm 3.27-3.51, 2 Sc 3.34-3.37
Pm: 0.3093 0.3093 0.6830  2 Tm 3.19-3.44, 3 Sc 3.23-3.56, 1 Pm 3.47
Pm: 0.6907 0.6907 0.3170  2 Tm 3.19-3.44, 3 Sc 3.23-3.56, 1 Pm 3.47
Pm: 0.7057 0.0712 0.0663  3 Pm 3.25-3.56, 2 Tm 3.27-3.51, 2 Sc 3.34-3.37
Pm: 0.9096 0.9096 0.6027  4 Pm 3.20-3.54, 2 Sc 3.41
Pm: 0.9288 0.2943 0.9337  3 Pm 3.25-3.56, 2 Tm 3.27-3.51, 2 Sc 3.34-3.37
Tm: 0.3048 0.3048 0.2001  6 Pm 3.19-3.51, 3 Sc 3.38-3.53
Tm: 0.6952 0.6952 0.7999  6 Pm 3.19-3.51, 3 Sc 3.38-3.53
Sc: 0.3386 0.6614 0.5000  1 Sc 2.87
Sc: 0.5000 0.5000 0.0000  6 Pm 3.23-3.34, 2 Tm 3.38, 4 Sc 3.61
Sc: 0.6614 0.3386 0.5000  1 Sc 2.87

Output
Calculated density = 6.3 g/cm3
Uncorrected energy = -62.80 eV/cell
Energy of formation from the pure elements = 0.241 eV/atom
Excess energy over the best structure of this formula in the dataset = 5.80 kJ per mole of atoms
Size of the total moment = 0.00 μB/cell

No. 6
## KLi2TiZn (GGA-PBE)

Data for a relaxed structure of KLi2TiZn.

abc: 5.4943 5.4943 6.5911
angles: 90.00 90.00 90.00
Closest atoms and distances in Å follow each position.
Fractional coordinates of all 5 atoms:
K: 0.0000 0.0000 0.0000  2 Ti 3.30
Li: 0.0000 0.5000 0.5000  2 Ti 2.75
Li: 0.5000 0.0000 0.5000  2 Ti 2.75
Ti: 0.0000 0.0000 0.5000  4 Li 2.75
Zn: 0.5000 0.5000 0.0000  4 K 3.89, 8 Li 4.29

Output
Calculated density = 1.4 g/cm3
Uncorrected energy = -8.65 eV/cell
Energy of formation from the pure elements = 1.089 eV/atom
Size of the total moment = 4.20 μB/cell

No. 7
## NaHo2NbO6 (GGA-PBE)

Data for a relaxed structure of NaHo2NbO6.

abc: 5.9966 5.9966 5.9966
angles: 56.39 56.39 56.39
Closest atoms and distances in Å follow each position.
Fractional coordinates of all 10 atoms:
Na: 0.0000 0.0000 0.0000  3 O 2.32
Ho: 0.2752 0.2752 0.2752  6 O 2.27-2.30
Ho: 0.7769 0.7769 0.7769  6 O 2.18-2.37
Nb: 0.4807 0.4807 0.4807  6 O 1.98-2.10
O: 0.1028 0.6455 0.4094  1 Nb 2.10, 2 Ho 2.18-2.27, 1 Na 2.32
O: 0.2192 0.5649 0.8383  1 Nb 1.98
O: 0.4094 0.1028 0.6455  1 Nb 2.10, 2 Ho 2.18-2.27, 1 Na 2.32
O: 0.5649 0.8383 0.2192  1 Nb 1.98
O: 0.6455 0.4094 0.1028  1 Nb 2.10, 2 Ho 2.18-2.27, 1 Na 2.32
O: 0.8383 0.2192 0.5649  1 Nb 1.98

Output
Calculated density = 6.4 g/cm3
Uncorrected energy = -80.22 eV/cell
Size of the total moment = 0.01 μB/cell

No. 8
## Pm2Sm3Y7 (GGA-PBE)

Data for a relaxed structure of Pm2Sm3Y7.

abc: 3.6663 5.6429 20.6548
angles: 90.00 95.10 90.00
Closest atoms and distances in Å follow each position.
Fractional coordinates of all 12 atoms:
Pm: 0.1376 0.0000 0.2740  5 Y 3.21-3.57
Pm: 0.8624 0.0000 0.7260  5 Y 3.21-3.57
Sm: 0.0000 0.0000 0.0000  8 Y 3.29-3.36, 2 Sm 3.67
Sm: 0.3303 0.5000 0.6616  4 Pm 3.62, 2 Sm 3.67, 6 Y 3.85-3.96
Sm: 0.6697 0.5000 0.3384  4 Pm 3.62, 2 Sm 3.67, 6 Y 3.85-3.96
Y: 0.0845 0.5000 0.1680  6 Y 3.44-3.67, 2 Pm 3.57
Y: 0.2150 0.0000 0.4298  1 Pm 3.21, 2 Y 3.42
Y: 0.4331 0.0000 0.8669  2 Sm 3.29-3.30, 2 Pm 3.43, 6 Y 3.44-3.67
Y: 0.5000 0.5000 0.0000  4 Sm 3.36, 2 Y 3.67
Y: 0.5669 0.0000 0.1331  2 Sm 3.29-3.30, 2 Pm 3.43, 6 Y 3.44-3.67
Y: 0.7850 0.0000 0.5702  1 Pm 3.21, 2 Y 3.42
Y: 0.9155 0.5000 0.8320  6 Y 3.44-3.67, 2 Pm 3.57

Output
Calculated density = 5.3 g/cm3
Uncorrected energy = -66.02 eV/cell
Energy of formation from the pure elements = 0.240 eV/atom
Excess energy over the best structure of this formula in the dataset = 15.00 kJ per mole of atoms
Size of the total moment = 1.09 μB/cell

Look up the uncorrected energy of the second one.
-77.63 eV/cell